## Ag3TeSe (PBE-GGA)

Data for a relaxed Ag3TeSe crystal.

Cell lengths 5.299, 5.299, 5.299 Å; angles 90.00, 90.00, 90.00 degrees
Atoms (fractional coordinates):
Ag  0.000  0.000  0.500
Ag  0.000  0.500  0.000
Ag  0.500  0.000  0.000
Te  0.000  0.000  0.000
Se  0.500  0.500  0.500

Values from the calculation:
The value obtained for the calculated total energy is -12.94 eV/cell.